(1)
AcPu2AlO8: relaxed, PBE.

Results
For the size of the total moment, the calculation gives 6.00 μB per cell. The calculation puts the energy relative to the elements, uncorrected at -2.835 eV per atom.

Cell: 5.0058 5.0055 6.9675 Å, 90.01 90.01 85.67°
Last column: nearest neighbours and their distance in Å.
Positions (direct):
1 O 0.1928 0.8072 0.1991  1 Al 1.91, 1 Pu 2.10
2 O 0.8072 0.1929 0.1991  1 Al 1.91, 1 Pu 2.10
3 O 0.6681 0.6681 0.4999  2 Pu 2.23, 1 Ac 2.44, 1 O 2.47
4 O 0.3067 0.3066 0.0000  2 Pu 2.16, 1 Al 2.25
5 O 0.6933 0.6934 0.0000  2 Pu 2.16, 1 Al 2.25
6 O 0.8072 0.1928 0.8009  1 Al 1.91, 1 Pu 2.10
7 O 0.1928 0.8071 0.8009  1 Al 1.91, 1 Pu 2.10
8 O 0.3319 0.3319 0.5001  2 Pu 2.23, 1 Ac 2.44, 1 O 2.47
9 Ac 0.0000 0.0000 0.5000  6 O 2.44-2.47
10 Al 0.0000 0.0000 0.0000  4 O 1.91
11 Pu 0.5000 0.5000 0.7662  6 O 2.10-2.23
12 Pu 0.5000 0.5000 0.2338  6 O 2.10-2.23

=====

(2)
Li2AlInSi: relaxed, PBE.

Results
For the size of the total moment, the calculation gives 0.00 μB per cell. The calculation puts the energy relative to the elements, uncorrected at 0.615 eV per atom.

Cell: 5.0330 5.1783 5.0330 Å, 90.00 90.00 90.00°
Last column: nearest neighbours and their distance in Å.
Positions (direct):
1 Li 0.5000 0.0000 0.0000  2 In 2.52
2 Li 0.0000 0.0000 0.5000  2 In 2.52
3 Al 0.5000 0.5000 0.5000  4 Si 3.56, 8 Li 3.61
4 Si 0.0000 0.5000 0.0000  2 In 2.59
5 In 0.0000 0.0000 0.0000  4 Li 2.52, 2 Si 2.59

=====

(3)
LiSmHg4: relaxed, PBE.

Results
For the size of the total moment, the calculation gives 0.00 μB per cell. The calculation puts the polymorph energy (0 for the lowest one) at 0.0 meV per atom. Its formation energy is -1.97 eV per formula unit.

Cell: 3.9558 5.4649 7.7154 Å, 102.18 75.15 68.78°
Last column: nearest neighbours and their distance in Å.
Positions (direct):
1 Sm 0.5000 0.5000 0.5000  10 Hg 3.22-3.24
2 Hg 0.1865 0.4768 0.1502  3 Li 3.04-3.22, 5 Hg 3.06-3.15, 2 Sm 3.24
3 Hg 0.8135 0.5232 0.8498  3 Li 3.04-3.22, 5 Hg 3.06-3.15, 2 Sm 3.24
4 Hg 0.3538 0.9821 0.3102  2 Li 3.07, 5 Hg 3.13-3.41, 3 Sm 3.22
5 Hg 0.6462 0.0179 0.6898  2 Li 3.07, 5 Hg 3.13-3.41, 3 Sm 3.22
6 Li 0.0000 0.0000 0.0000  10 Hg 3.04-3.22

=====

(4)
LaHoTeSe: relaxed, PBE.

Results
For the size of the total moment, the calculation gives 0.00 μB per cell. The calculation puts the energy relative to the elements, uncorrected at -1.636 eV per atom.

Cell: 4.1776 4.1789 7.9505 Å, 90.00 105.22 120.01°
Last column: nearest neighbours and their distance in Å.
Positions (direct):
1 La 0.1158 0.9559 0.0867  3 Se 2.99, 3 Te 3.28-3.29
2 Te 0.9787 0.3873 0.3811  3 Ho 3.14, 3 La 3.28-3.29
3 Se 0.2941 0.5450 0.8545  3 Ho 2.88, 3 La 2.99
4 Ho 0.4893 0.1426 0.6474  3 Se 2.88, 3 Te 3.14

=====

(5)
TlFe2Cu2: relaxed, PBE.

Results
For the size of the total moment, the calculation gives 10.97 μB per cell. Its formation energy is 2.18 eV per formula unit.

Cell: 7.2358 7.2358 2.8482 Å, 90.00 90.00 90.00°
Last column: nearest neighbours and their distance in Å.
Positions (direct):
1 Cu 0.6739 0.8261 0.5000  6 Fe 2.57-2.59, 2 Cu 2.85
2 Cu 0.8261 0.3261 0.5000  6 Fe 2.57-2.59, 2 Cu 2.85
3 Cu 0.1739 0.6739 0.5000  6 Fe 2.57-2.59, 2 Cu 2.85
4 Cu 0.3261 0.1739 0.5000  6 Fe 2.57-2.59, 2 Cu 2.85
5 Fe 0.6152 0.1152 0.0000  1 Fe 2.36, 6 Cu 2.57-2.59
6 Fe 0.8848 0.6152 0.0000  1 Fe 2.36, 6 Cu 2.57-2.59
7 Fe 0.1152 0.3848 0.0000  1 Fe 2.36, 6 Cu 2.57-2.59
8 Fe 0.3848 0.8848 0.0000  1 Fe 2.36, 6 Cu 2.57-2.59
9 Tl 0.5000 0.5000 0.0000  2 Tl 2.85, 4 Fe 2.91, 8 Cu 3.03
10 Tl 0.0000 0.0000 0.0000  2 Tl 2.85, 4 Fe 2.91, 8 Cu 3.03

=====

(6)
TaGaTeI2: relaxed, PBE.

Results
For the size of the total moment, the calculation gives 1.81 μB per cell. The calculation puts the polymorph energy (0 for the lowest one) at 0.0 meV per atom. The calculation puts the energy relative to the elements, uncorrected at 0.206 eV per atom.

Cell: 5.7749 5.7749 5.3964 Å, 90.00 90.00 90.00°
Last column: nearest neighbours and their distance in Å.
Positions (direct):
1 Ga 0.5000 0.5000 0.5000  8 I 3.95, 4 Te 4.08
2 I 0.5000 0.0000 0.0000  2 Ta 2.89
3 I 0.0000 0.5000 0.0000  2 Ta 2.89
4 Te 0.0000 0.0000 0.5000  2 Ta 2.70
5 Ta 0.0000 0.0000 0.0000  2 Te 2.70, 4 I 2.89

=====

(7)
MgCd6Hg2: relaxed, PBE.

Results
For the size of the total moment, the calculation gives 0.00 μB per cell. The calculation puts the polymorph energy (0 for the lowest one) at 0.0 meV per atom. Its formation energy is -0.26 eV per formula unit.

Cell: 4.3428 6.9700 7.3061 Å, 103.25 107.29 90.00°
Last column: nearest neighbours and their distance in Å.
Positions (direct):
1 Hg 0.9522 0.1920 0.9045  2 Mg 3.01, 8 Cd 3.07-3.25, 1 Hg 3.26
2 Hg 0.0478 0.8080 0.0955  2 Mg 3.01, 8 Cd 3.07-3.25, 1 Hg 3.26
3 Cd 0.8306 0.5055 0.6612  7 Cd 3.04-3.16, 2 Hg 3.07-3.25, 2 Mg 3.22
4 Cd 0.3885 0.8416 0.7770  6 Cd 3.02-3.35, 1 Mg 3.14, 4 Hg 3.16-3.23
5 Cd 0.1694 0.4945 0.3388  7 Cd 3.04-3.16, 2 Hg 3.07-3.25, 2 Mg 3.22
6 Cd 0.7208 0.8336 0.4416  8 Cd 3.02-3.18, 2 Hg 3.22
7 Cd 0.6115 0.1584 0.2230  6 Cd 3.02-3.35, 1 Mg 3.14, 4 Hg 3.16-3.23
8 Cd 0.2792 0.1664 0.5584  8 Cd 3.02-3.18, 2 Hg 3.22
9 Mg 0.5000 0.5000 0.0000  4 Hg 3.01, 6 Cd 3.14-3.22

=====

(8)
Mn2GaN: relaxed, PBE.

Results
For the size of the total moment, the calculation gives 12.83 μB per cell. The calculation puts the energy relative to the elements, uncorrected at -0.204 eV per atom.

Cell: 6.1109 2.8992 11.4594 Å, 90.00 116.65 90.00°
Last column: nearest neighbours and their distance in Å.
Positions (direct):
1 Mn 0.5000 0.8752 0.5000  2 N 2.00
2 Mn 0.3281 0.8752 0.2279  3 N 1.92
3 Mn 0.0000 0.3752 0.0000  2 N 1.99
4 Mn 0.3281 0.3752 0.7279  3 N 1.92
5 Mn 0.5000 0.3752 0.0000  2 N 2.00
6 Mn 0.6719 0.8752 0.7721  3 N 1.92
7 Mn 0.6719 0.3752 0.2721  3 N 1.92
8 Mn 0.0000 0.8752 0.5000  2 N 1.99
9 N 0.6460 0.8752 0.3748  5 Mn 1.92-2.00
10 N 0.6460 0.3752 0.8748  5 Mn 1.92-2.00
11 N 0.3540 0.8752 0.6252  5 Mn 1.92-2.00
12 N 0.3540 0.3752 0.1252  5 Mn 1.92-2.00
13 Ga 0.8600 0.3752 0.6457  7 Mn 2.54-2.65, 2 Ga 2.66
14 Ga 0.8600 0.8752 0.1457  7 Mn 2.54-2.65, 2 Ga 2.66
15 Ga 0.1400 0.3752 0.3543  7 Mn 2.54-2.65, 2 Ga 2.66
16 Ga 0.1400 0.8752 0.8543  7 Mn 2.54-2.65, 2 Ga 2.66

=====

(9)
Ho4ErSb5: relaxed, PBE.

Results
For the size of the total moment, the calculation gives 0.00 μB per cell. The calculation puts the energy relative to the elements, uncorrected at -1.111 eV per atom.

Cell: 4.3634 4.3634 15.7316 Å, 97.97 97.97 90.00°
Last column: nearest neighbours and their distance in Å.
Positions (direct):
1 Ho 0.4001 0.4001 0.8001  6 Sb 3.08-3.09
2 Ho 0.1999 0.1999 0.3998  6 Sb 3.09
3 Ho 0.8001 0.8001 0.6002  6 Sb 3.09
4 Ho 0.5999 0.5999 0.1999  6 Sb 3.08-3.09
5 Sb 0.0998 0.0998 0.1996  1 Er 3.08, 5 Ho 3.09
6 Sb 0.3000 0.3000 0.6000  6 Ho 3.09
7 Sb 0.7000 0.7000 0.4000  6 Ho 3.09
8 Sb 0.5000 0.5000 0.0000  2 Ho 3.08, 4 Er 3.09
9 Sb 0.9002 0.9002 0.8004  1 Er 3.08, 5 Ho 3.09
10 Er 0.0000 0.0000 0.0000  6 Sb 3.08-3.09

=====

(10)
SrMnC2: relaxed, PBE.

Results
For the size of the total moment, the calculation gives 1.98 μB per cell. Its formation energy is 3.07 eV per formula unit.

Cell: 3.3036 3.3036 5.8111 Å, 73.49 73.49 60.00°
Last column: nearest neighbours and their distance in Å.
Positions (direct):
1 C 0.2819 0.2819 0.1543  3 Mn 2.09
2 C 0.7181 0.7181 0.8457  3 Mn 2.09
3 Sr 0.5000 0.5000 0.5000  6 C 2.69
4 Mn 0.0000 0.0000 0.0000  6 C 2.09

=====

(11)
BeAsP2: relaxed, PBE.

Results
For the size of the total moment, the calculation gives 0.00 μB per cell. The calculation puts the polymorph energy (0 for the lowest one) at 641.5 meV per atom. Its formation energy is 2.62 eV per formula unit.

Cell: 4.2477 4.2477 3.4600 Å, 90.00 90.00 107.60°
Last column: nearest neighbours and their distance in Å.
Positions (direct):
1 P 0.0000 0.0000 0.0000  2 P 2.51, 4 As 2.74, 4 Be 2.74
2 P 0.5000 0.5000 0.0000  2 P 2.51, 4 Be 2.74, 4 As 2.74
3 Be 0.0000 0.5000 0.5000  2 As 2.51, 8 P 2.74
4 As 0.5000 0.0000 0.5000  2 Be 2.51, 8 P 2.74

=====

(12)
TbCe2Si: relaxed, PBE.

Results
For the size of the total moment, the calculation gives 0.01 μB per cell. The calculation puts the polymorph energy (0 for the lowest one) at 87.3 meV per atom. The calculation puts the energy relative to the elements, uncorrected at -0.307 eV per atom.

Cell: 4.9399 4.3990 4.3990 Å, 90.00 90.00 90.00°
Last column: nearest neighbours and their distance in Å.
Positions (direct):
1 Tb 0.5000 0.0000 0.0000  4 Si 3.11, 8 Ce 3.31
2 Ce 0.0000 0.0000 0.5000  4 Ce 3.11, 4 Si 3.31, 4 Tb 3.31
3 Ce 0.0000 0.5000 0.0000  4 Ce 3.11, 4 Tb 3.31, 4 Si 3.31
4 Si 0.5000 0.5000 0.5000  4 Tb 3.11, 8 Ce 3.31

=====

(13)
TlGeAu2: relaxed, PBE.

Results
For the size of the total moment, the calculation gives 0.00 μB per cell. The calculation puts the polymorph energy (0 for the lowest one) at 108.7 meV per atom. Its formation energy is 0.38 eV per formula unit.

Cell: 4.8301 4.8301 9.0669 Å, 74.55 74.55 90.00°
Last column: nearest neighbours and their distance in Å.
Positions (direct):
1 Tl 0.7500 0.2500 0.5000  4 Au 2.89
2 Tl 0.0000 0.0000 0.0000  4 Au 2.89
3 Au 0.8750 0.8005 0.7500  2 Ge 2.57
4 Au 0.5505 0.1250 0.2500  2 Ge 2.57
5 Au 0.3750 0.4495 0.7500  2 Ge 2.57
6 Au 0.1995 0.6250 0.2500  2 Ge 2.57
7 Ge 0.5000 0.5000 0.0000  4 Au 2.57
8 Ge 0.2500 0.7500 0.5000  4 Au 2.57

=====

(14)
CuSb2TeBr: relaxed, PBE.

Results
For the size of the total moment, the calculation gives 0.00 μB per cell. The calculation puts the polymorph energy (0 for the lowest one) at 0.0 meV per atom. The calculation puts the energy relative to the elements, uncorrected at 0.376 eV per atom.

Cell: 5.2544 5.2544 5.0241 Å, 90.00 90.00 90.00°
Last column: nearest neighbours and their distance in Å.
Positions (direct):
1 Cu 0.0000 0.0000 0.0000  2 Te 2.51, 4 Sb 2.63
2 Te 0.0000 0.0000 0.5000  2 Cu 2.51
3 Sb 0.0000 0.5000 0.0000  2 Cu 2.63
4 Sb 0.5000 0.0000 0.0000  2 Cu 2.63
5 Br 0.5000 0.5000 0.5000  8 Sb 3.63, 4 Te 3.72

=====

(15)
BiBP2S: relaxed, PBE.

Results
For the size of the total moment, the calculation gives 0.00 μB per cell. The calculation puts the polymorph energy (0 for the lowest one) at 0.0 meV per atom. The calculation puts the energy relative to the elements, uncorrected at 0.672 eV per atom.

Cell: 4.3568 4.3568 4.3086 Å, 90.00 90.00 90.00°
Last column: nearest neighbours and their distance in Å.
Positions (direct):
1 B 0.0000 0.0000 0.0000  2 S 2.15, 4 P 2.18
2 S 0.0000 0.0000 0.5000  2 B 2.15
3 Bi 0.5000 0.5000 0.5000  8 P 3.06, 4 S 3.08
4 P 0.0000 0.5000 0.0000  2 B 2.18
5 P 0.5000 0.0000 0.0000  2 B 2.18

=====

(16)
LaAsIrSe2: relaxed, PBE.

Results
For the size of the total moment, the calculation gives 2.72 μB per cell. The calculation puts the polymorph energy (0 for the lowest one) at 1656.3 meV per atom. The calculation puts the energy relative to the elements, uncorrected at 1.117 eV per atom.

Cell: 5.6150 5.6150 5.7933 Å, 90.00 90.00 90.00°
Last column: nearest neighbours and their distance in Å.
Positions (direct):
1 Se 0.5000 0.0000 0.0000  2 La 2.81
2 Se 0.0000 0.5000 0.0000  2 La 2.81
3 Ir 0.5000 0.5000 0.5000  4 As 3.97, 8 Se 4.03
4 La 0.0000 0.0000 0.0000  4 Se 2.81, 2 As 2.90
5 As 0.0000 0.0000 0.5000  2 La 2.90

=====

(17)
Tm2Zn5Ag5: relaxed, PBE.

Results
For the size of the total moment, the calculation gives 0.00 μB per cell. Its formation energy is -2.45 eV per formula unit.

Cell: 4.5371 5.2307 9.3885 Å, 90.00 90.00 90.00°
Last column: nearest neighbours and their distance in Å.
Positions (direct):
1 Ag 0.0000 0.5000 0.3342  6 Zn 2.72-2.75, 2 Ag 3.01, 2 Tm 3.04
2 Ag 0.0000 0.0000 0.8244  4 Zn 2.72, 4 Ag 2.80-3.01, 1 Tm 3.05
3 Ag 0.0000 0.0000 0.1756  4 Zn 2.72, 4 Ag 2.80-3.01, 1 Tm 3.05
4 Ag 0.5000 0.0000 0.0000  4 Zn 2.73, 4 Ag 2.80
5 Ag 0.0000 0.5000 0.6658  6 Zn 2.72-2.75, 2 Ag 3.01, 2 Tm 3.04
6 Zn 0.5000 0.5000 0.5000  4 Zn 2.64, 4 Ag 2.75
7 Zn 0.5000 0.7509 0.2558  3 Zn 2.61-2.64, 5 Ag 2.72-2.73
8 Zn 0.5000 0.2491 0.7442  3 Zn 2.61-2.64, 5 Ag 2.72-2.73
9 Zn 0.5000 0.2491 0.2558  3 Zn 2.61-2.64, 5 Ag 2.72-2.73
10 Zn 0.5000 0.7509 0.7442  3 Zn 2.61-2.64, 5 Ag 2.72-2.73
11 Tm 0.0000 0.0000 0.5000  6 Ag 3.04-3.05
12 Tm 0.0000 0.5000 0.0000  10 Ag 3.09-3.46

=====

(18)
Pr2TiZn2Pd5: relaxed, PBE.

Results
For the size of the total moment, the calculation gives 0.00 μB per cell. Its formation energy is -6.06 eV per formula unit.

Cell: 3.7471 9.9880 9.9880 Å, 90.00 90.00 90.00°
Last column: nearest neighbours and their distance in Å.
Positions (direct):
1 Pr 0.0000 0.3230 0.8230  3 Zn 2.85-3.03, 2 Pd 3.12
2 Pr 0.0000 0.6770 0.1770  3 Zn 2.85-3.03, 2 Pd 3.12
3 Pr 0.0000 0.8230 0.6770  3 Zn 2.85-3.03, 2 Pd 3.12
4 Pr 0.0000 0.1770 0.3230  3 Zn 2.85-3.03, 2 Pd 3.12
5 Zn 0.0000 0.8787 0.3787  6 Pd 2.54-2.67
6 Zn 0.0000 0.6213 0.8787  6 Pd 2.54-2.67
7 Zn 0.0000 0.3787 0.1213  6 Pd 2.54-2.67
8 Zn 0.0000 0.1213 0.6213  6 Pd 2.54-2.67
9 Pd 0.5000 0.5590 0.6993  2 Zn 2.67, 2 Ti 2.80, 2 Pd 2.94
10 Pd 0.5000 0.6993 0.4410  2 Zn 2.67, 2 Ti 2.80, 2 Pd 2.94
11 Pd 0.5000 0.4410 0.3007  2 Zn 2.67, 2 Ti 2.80, 2 Pd 2.94
12 Pd 0.5000 0.9410 0.1993  2 Zn 2.67, 2 Ti 2.80, 2 Pd 2.94
13 Pd 0.5000 0.8007 0.9410  2 Zn 2.67, 2 Ti 2.80, 2 Pd 2.94
14 Pd 0.5000 0.0590 0.8007  2 Zn 2.67, 2 Ti 2.80, 2 Pd 2.94
15 Pd 0.5000 0.1993 0.0590  2 Zn 2.67, 2 Ti 2.80, 2 Pd 2.94
16 Pd 0.5000 0.0000 0.5000  4 Zn 2.54
17 Pd 0.5000 0.5000 0.0000  4 Zn 2.54
18 Pd 0.5000 0.3007 0.5590  2 Zn 2.67, 2 Ti 2.80, 2 Pd 2.94
19 Ti 0.0000 0.0000 0.0000  8 Pd 2.80
20 Ti 0.0000 0.5000 0.5000  8 Pd 2.80

=====

(19)
ScTlRe2P: relaxed, PBE.

Results
For the size of the total moment, the calculation gives 3.37 μB per cell. Its formation energy is 9.61 eV per formula unit.

Cell: 4.8912 4.7495 4.8912 Å, 90.00 90.00 90.00°
Last column: nearest neighbours and their distance in Å.
Positions (direct):
1 Re 0.5000 0.0000 0.0000  2 Sc 2.45
2 Re 0.0000 0.0000 0.5000  2 Sc 2.45
3 Tl 0.5000 0.5000 0.5000  8 Re 3.41, 4 P 3.46
4 P 0.0000 0.5000 0.0000  2 Sc 2.37
5 Sc 0.0000 0.0000 0.0000  2 P 2.37, 4 Re 2.45

=====

(20)
InOs2Pb: relaxed, PBE.

Results
For the size of the total moment, the calculation gives 0.00 μB per cell. The calculation puts the polymorph energy (0 for the lowest one) at 537.1 meV per atom. Its formation energy is 4.13 eV per formula unit.

Cell: 3.1619 5.2433 4.5093 Å, 90.00 90.00 90.00°
Last column: nearest neighbours and their distance in Å.
Positions (direct):
1 In 0.0000 0.5000 0.5000  4 Os 2.75, 4 Pb 3.06
2 Os 0.5000 0.5000 0.0000  4 In 2.75, 4 Os 3.06
3 Os 0.0000 0.0000 0.0000  4 Pb 2.75, 4 Os 3.06
4 Pb 0.5000 0.0000 0.5000  4 Os 2.75, 4 In 3.06

=====

(21)
ErPa2Sn: relaxed, PBE.

Results
For the size of the total moment, the calculation gives 0.00 μB per cell. The calculation puts the polymorph energy (0 for the lowest one) at 480.7 meV per atom. Its formation energy is 1.11 eV per formula unit.

Cell: 3.2388 3.2388 12.2689 Å, 82.42 82.42 60.00°
Last column: nearest neighbours and their distance in Å.
Positions (direct):
1 Pa 0.0873 0.0873 0.7382  1 Sn 3.17, 6 Pa 3.24, 3 Er 3.44
2 Pa 0.9127 0.9127 0.2618  1 Sn 3.17, 6 Pa 3.24, 3 Er 3.44
3 Er 0.5000 0.5000 0.5000  6 Er 3.24, 6 Pa 3.44
4 Sn 0.0000 0.0000 0.0000  2 Pa 3.17, 6 Sn 3.24